# K3Cr4F12

An optimized crystal structure of K3Cr4F12 (PBE+U, Alexandria).

Electronic total energy (eV/atom): -5.612
SG: Im-3m (229)
DOS(E_F) (states/eV/f.u.): 4.645

```
19
Lattice="-6.542 2.451 1.596 0.578 -0.822 -7.095 1.039 -6.312 3.228" Properties=species:S:1:pos:R:3 pbc="T T T"
K -2.982 0.814 -2.750
K 0.808 -3.567 -1.933
K -2.751 -1.931 2.412
Cr -2.462 -2.342 -1.135
Cr -3.271 1.225 0.798
Cr 0.520 -3.156 1.614
Cr 0.289 -0.411 -3.547
F -0.207 -6.293 -1.639
F -4.718 1.609 -0.631
F -0.994 -2.819 0.243
F -0.905 -4.068 2.807
F -5.618 -2.454 2.178
F -1.986 -4.110 -2.100
F -3.809 -3.275 0.130
F 0.693 -2.230 -4.449
F -3.931 -1.864 -2.514
F -4.020 -0.616 -5.078
F -2.939 -0.574 -0.170
F -1.116 -1.409 -2.401
```